# 1
NaDyRe2O8 after structural relaxation, computed with PBE.

Cell lengths 5.9802, 5.9802, 6.8643 Å; angles 90.00, 90.00, 120.00 degrees
Space group P-3m1 (No. 164)
Symmetry-distinct sites (fractional):
Na 0.0000 0.0000 0.0000 [1 per cell]
Dy 0.0000 0.0000 0.5000 [1 per cell]
Re 0.3333 0.6667 0.7953 [2 per cell]
O 0.1680 0.3360 0.7080 [6 per cell]
O 0.3333 0.6667 0.0514 [2 per cell]

## Properties
The total energy comes out at -7.826 eV/atom. The density of states at the Fermi level is 0.52 states/eV per atom. Its total magnetization is 2.0 Bohr magnetons per cell. Its energy relative to the elements, uncorrected is -1953 meV per atom.

# 2
NaDyReO6 after structural relaxation, computed with PBE.

Cell lengths 5.5989, 5.5989, 4.9432 Å; angles 90.00, 90.00, 120.00 degrees
Space group P312 (No. 149)
Symmetry-distinct sites (fractional):
Na 0.0000 0.0000 0.0000 [1 per cell]
Dy 0.3333 0.6667 0.5000 [1 per cell]
Re 0.6667 0.3333 0.5000 [1 per cell]
O 0.3926 0.0474 0.7163 [6 per cell]

## Properties
The total energy comes out at -7.272 eV/atom. The density of states at the Fermi level is 0.63 states/eV per atom. Its total magnetization is 1.1 Bohr magnetons per cell. Its energy relative to the elements, uncorrected is -1926 meV per atom.

# 3
NaDy2ReO8 after structural relaxation, computed with PBE.

Cell lengths 4.196, 5.265, 6.877 Å; angles 90.65, 103.67, 91.93 degrees
Space group P-1 (No. 2)
Symmetry-distinct sites (fractional):
Na 0.000 0.000 0.000 [1 per cell]
Dy 0.390 0.482 0.715 [2 per cell]
Re 0.000 0.000 0.500 [1 per cell]
O 0.174 0.528 0.998 [2 per cell]
O 0.186 0.692 0.419 [2 per cell]
O 0.227 0.218 0.365 [2 per cell]
O 0.325 0.047 0.742 [2 per cell]

## Properties
The total energy comes out at -7.415 eV/atom. Its total magnetization is 0.0 Bohr magnetons per cell. Its energy relative to the elements, uncorrected is -2195 meV per atom.

# 4
Na3Dy3ReO8 after structural relaxation, computed with PBE.

Cell lengths 6.7163, 6.7163, 16.7129 Å; angles 90.00, 90.00, 120.00 degrees
Space group R-3m (No. 166, hexagonal axes)
Symmetry-distinct sites (fractional):
Na 0.0000 0.5000 0.0000 [9 per cell]
Dy 0.0000 0.5000 0.5000 [9 per cell]
Re 0.0000 0.0000 0.5000 [3 per cell]
O 0.0000 0.0000 0.2366 [6 per cell]
O 0.0274 0.5137 0.2330 [18 per cell]

## Properties
The total energy comes out at -7.134 eV/atom. Its total magnetization is 9.0 Bohr magnetons per cell. Its energy relative to the elements, uncorrected is -2475 meV per atom.

# 5
Na2DyRhO4 after structural relaxation, computed with PBE.

Cell lengths 5.406, 3.312, 5.908 Å; angles 90.00, 109.06, 90.00 degrees
Space group P2/m (No. 10)
Symmetry-distinct sites (fractional):
Na 0.000 0.000 0.000 [1 per cell]
Na 0.500 0.500 0.000 [1 per cell]
Dy 0.000 0.500 0.500 [1 per cell]
Rh 0.500 0.000 0.500 [1 per cell]
O 0.249 0.000 0.721 [2 per cell]
O 0.290 0.500 0.293 [2 per cell]

## Properties
The total energy comes out at -6.223 eV/atom. Its total magnetization is 0.0 Bohr magnetons per cell. Its energy relative to the elements, uncorrected is -1920 meV per atom.

# 6
Na3Dy3RhO8 after structural relaxation, computed with PBE.

Cell lengths 6.6886, 6.6886, 16.6619 Å; angles 90.00, 90.00, 120.00 degrees
Space group R-3m (No. 166, hexagonal axes)
Symmetry-distinct sites (fractional):
Na 0.0000 0.5000 0.0000 [9 per cell]
Dy 0.0000 0.5000 0.5000 [9 per cell]
Rh 0.0000 0.0000 0.5000 [3 per cell]
O 0.0000 0.0000 0.2367 [6 per cell]
O 0.0276 0.5138 0.2335 [18 per cell]

## Properties
The total energy comes out at -6.683 eV/atom. The density of states at the Fermi level is 0.48 states/eV per atom. Its total magnetization is 3.2 Bohr magnetons per cell. Its energy relative to the elements, uncorrected is -2364 meV per atom.

# 7
NaDy2RuO5 after structural relaxation, computed with PBE.

Cell lengths 6.568, 6.568, 5.736 Å; angles 90.00, 90.00, 90.00 degrees
Space group P4/mbm (No. 127)
Symmetry-distinct sites (fractional):
Na 0.000 0.000 0.000 [2 per cell]
Dy 0.177 0.323 0.500 [4 per cell]
Ru 0.000 0.500 0.000 [2 per cell]
O 0.000 0.000 0.500 [2 per cell]
O 0.138 0.638 0.254 [8 per cell]

## Properties
The total energy comes out at -7.292 eV/atom. Its total magnetization is 6.0 Bohr magnetons per cell. Its energy relative to the elements, uncorrected is -2338 meV per atom.

# 8
Na4Dy3RuO8 after structural relaxation, computed with PBE.

Cell lengths 6.6506, 6.6506, 16.7421 Å; angles 90.00, 90.00, 120.00 degrees
Space group R-3m (No. 166, hexagonal axes)
Symmetry-distinct sites (fractional):
Na 0.0000 0.0000 0.0000 [3 per cell]
Na 0.0000 0.5000 0.0000 [9 per cell]
Dy 0.0000 0.5000 0.5000 [9 per cell]
Ru 0.0000 0.0000 0.5000 [3 per cell]
O 0.0000 0.0000 0.2376 [6 per cell]
O 0.0130 0.5065 0.2381 [18 per cell]

## Properties
The total energy comes out at -6.570 eV/atom. The density of states at the Fermi level is 0.50 states/eV per atom. Its total magnetization is 3.0 Bohr magnetons per cell. Its energy relative to the elements, uncorrected is -2318 meV per atom.

# 9
Na2DyRuO6 after structural relaxation, computed with PBE.

Cell lengths 5.618, 5.738, 9.770 Å; angles 90.00, 124.66, 90.00 degrees
Space group P2_1/c (No. 14)
Symmetry-distinct sites (fractional):
Na 0.241 0.040 0.250 [4 per cell]
Dy 0.500 0.000 0.000 [2 per cell]
Ru 0.000 0.000 0.500 [2 per cell]
O 0.131 0.226 0.951 [4 per cell]
O 0.232 0.685 0.957 [4 per cell]
O 0.315 0.026 0.728 [4 per cell]

## Properties
The total energy comes out at -6.330 eV/atom. The density of states at the Fermi level is 0.43 states/eV per atom. Its total magnetization is 0.6 Bohr magnetons per cell. Its energy relative to the elements, uncorrected is -1704 meV per atom.

# 10
Na3Dy3RuO8 after structural relaxation, computed with PBE.

Cell lengths 6.6892, 6.6892, 16.6769 Å; angles 90.00, 90.00, 120.00 degrees
Space group R-3m (No. 166, hexagonal axes)
Symmetry-distinct sites (fractional):
Na 0.0000 0.5000 0.0000 [9 per cell]
Dy 0.0000 0.5000 0.5000 [9 per cell]
Ru 0.0000 0.0000 0.5000 [3 per cell]
O 0.0000 0.0000 0.2368 [6 per cell]
O 0.0286 0.5143 0.2331 [18 per cell]

## Properties
The total energy comes out at -6.849 eV/atom. The density of states at the Fermi level is 0.42 states/eV per atom. Its total magnetization is 6.0 Bohr magnetons per cell. Its energy relative to the elements, uncorrected is -2402 meV per atom.